No. 1
A plane-wave DFT calculation with PBE was carried out for a geometry-optimized CuRuBr4 structure.

Computed properties:
* theoretical density: 4.93 g cm⁻³
* total moment: 2.32 μB per cell
* crystal system: cubic
* space group: No. 216
* formation energy without anion corrections: 135.6 kJ/mol of atoms
* final energy: -1.938 eV per atom

Lattice parameters (Å, degrees): 6.131 6.131 6.131 60.00 60.00 60.00
Fractional positions:
Cu1 0.000 0.000 0.000
Ru1 0.750 0.750 0.750
Br1 0.375 0.375 0.375
Br2 0.375 0.375 0.874
Br3 0.375 0.874 0.375
Br4 0.874 0.375 0.375

---

No. 2
A plane-wave DFT calculation with PBE was carried out for a geometry-optimized Cu4RuBr structure.

Computed properties:
* theoretical density: 8.45 g cm⁻³
* total moment: 1.14 μB per cell
* crystal system: cubic
* space group: No. 216
* formation energy without anion corrections: 56.8 kJ/mol of atoms
* final energy: -3.967 eV per atom

Lattice parameters (Å, degrees): 4.945 4.945 4.945 60.00 60.00 60.00
Fractional positions:
Cu1 0.124 0.124 0.124
Cu2 0.124 0.124 0.628
Cu3 0.124 0.628 0.124
Cu4 0.628 0.124 0.124
Ru1 0.750 0.750 0.750
Br1 0.500 0.500 0.500

---

No. 3
A plane-wave DFT calculation with PBE was carried out for a geometry-optimized Cu3RuBr structure.

Computed properties:
* theoretical density: 6.83 g cm⁻³
* relative energy among the computed polymorphs: 289.8 meV/atom
* total moment: 0.00 μB per cell
* crystal system: cubic
* space group: No. 221
* formation energy without anion corrections: 143.1 kJ/mol of atoms
* final energy: -3.164 eV per atom

Lattice parameters (Å, degrees): 4.487 4.487 4.487 90.00 90.00 90.00
Fractional positions:
Cu1 0.000 0.000 0.500
Cu2 0.000 0.500 0.000
Cu3 0.500 0.000 0.000
Ru1 0.500 0.500 0.500
Br1 0.000 0.000 0.000

---

No. 4
A plane-wave DFT calculation with PBE was carried out for a geometry-optimized Cu2RuBr5 structure.

Computed properties:
* theoretical density: 4.83 g cm⁻³
* total moment: 1.84 μB per cell
* crystal system: triclinic
* space group: No. 1
* formation energy without anion corrections: -17.0 kJ/mol of atoms
* final energy: -3.406 eV per atom

Lattice parameters (Å, degrees): 6.009 6.581 6.647 79.51 64.56 65.49
Fractional positions:
Cu1 0.000 0.000 0.000
Cu2 0.009 0.303 0.674
Ru1 0.197 0.319 0.984
Br1 0.072 0.126 0.358
Br2 0.274 0.510 0.611
Br3 0.459 0.939 0.798
Br4 0.609 0.330 0.004
Br5 0.888 0.684 0.174

---

No. 5
A plane-wave DFT calculation with PBE was carried out for a geometry-optimized Cu3RuBr structure.

Computed properties:
* theoretical density: 5.80 g cm⁻³
* relative energy among the computed polymorphs: 0.0 meV/atom
* total moment: 2.09 μB per cell
* crystal system: cubic
* space group: No. 221
* formation energy without anion corrections: 115.2 kJ/mol of atoms
* final energy: -3.454 eV per atom

Lattice parameters (Å, degrees): 4.738 4.738 4.738 90.00 90.00 90.00
Fractional positions:
Cu1 0.000 0.000 0.500
Cu2 0.000 0.500 0.000
Cu3 0.500 0.000 0.000
Ru1 0.000 0.000 0.000
Br1 0.500 0.500 0.500

---

No. 6
A plane-wave DFT calculation with PBE was carried out for a geometry-optimized Cu2RuBr8 structure.

Computed properties:
* theoretical density: 4.15 g cm⁻³
* total moment: 2.53 μB per cell
* crystal system: monoclinic
* space group: No. 12
* formation energy without anion corrections: -18.6 kJ/mol of atoms
* final energy: -2.997 eV per atom

Lattice parameters (Å, degrees): 7.973 7.973 6.173 100.20 100.20 64.70
Fractional positions:
Cu1 0.177 0.177 0.169
Cu2 0.823 0.823 0.831
Ru1 0.000 0.000 0.500
Br1 0.133 0.725 0.717
Br2 0.167 0.167 0.774
Br3 0.275 0.867 0.283
Br4 0.349 0.349 0.311
Br5 0.651 0.651 0.689
Br6 0.725 0.133 0.717
Br7 0.833 0.833 0.226
Br8 0.867 0.275 0.283

---

No. 7
A plane-wave DFT calculation with PBE was carried out for a geometry-optimized Cu2RuBr4 structure.

Computed properties:
* theoretical density: 5.54 g cm⁻³
* total moment: 1.06 μB per cell
* crystal system: tetragonal
* space group: No. 139
* formation energy without anion corrections: 16.5 kJ/mol of atoms
* final energy: -3.280 eV per atom

Lattice parameters (Å, degrees): 7.082 7.082 7.082 136.84 136.84 62.68
Fractional positions:
Cu1 0.099 0.099 0.000
Cu2 0.901 0.901 0.000
Ru1 0.500 0.500 0.000
Br1 0.000 0.500 0.500
Br2 0.292 0.292 0.000
Br3 0.500 0.000 0.500
Br4 0.708 0.708 0.000

---

No. 8
A plane-wave DFT calculation with PBE was carried out for a geometry-optimized CuSbRuBr2 structure.

Computed properties:
* theoretical density: 4.65 g cm⁻³
* total moment: 3.10 μB per cell
* crystal system: tetragonal
* space group: No. 123
* formation energy without anion corrections: 101.8 kJ/mol of atoms
* final energy: -3.112 eV per atom

Lattice parameters (Å, degrees): 5.768 5.768 4.793 90.00 90.00 90.00
Fractional positions:
Cu1 0.000 0.000 0.000
Sb1 0.000 0.000 0.500
Ru1 0.500 0.500 0.000
Br1 0.000 0.500 0.500
Br2 0.500 0.000 0.500

---

no.,D(E_F) (states/eV/atom)
1,1.797
2,1.157
3,1.908
4,0.955
5,0.362
6,1.174
7,0.819
8,0.688